(P)
A plane-wave DFT calculation with GGA+U was carried out for crystalline LiVP2H2O8 at its relaxed geometry.

The structure in CIF format:
```
data_LiVP2H2O8
_space_group_name_H-M_alt 'P 21 21 2'
_space_group_IT_number 18
_cell_length_a 6.942
_cell_length_b 7.931
_cell_length_c 5.384
_cell_angle_alpha 90.00
_cell_angle_beta 90.00
_cell_angle_gamma 90.00
loop_
_space_group_symop_operation_xyz
'x,y,z'
'-x,-y,z'
'x+1/2,-y+1/2,-z'
'-x+1/2,y+1/2,-z'
loop_
_atom_site_label
_atom_site_type_symbol
_atom_site_fract_x
_atom_site_fract_y
_atom_site_fract_z
_atom_site_occupancy
Li1 Li 0.000 0.000 0.081 1
V1 V 0.000 0.500 0.758 1
P1 P 0.220 0.653 0.263 1
H1 H 0.009 0.210 0.441 1
O1 O 0.049 0.788 0.267 1
O2 O 0.083 0.243 0.728 1
O3 O 0.199 0.543 0.495 1
O4 O 0.207 0.551 0.020 1
```



(Q)
A plane-wave DFT calculation with GGA+U was carried out for crystalline LiVP2H2O8 at its relaxed geometry.

The structure in CIF format:
```
data_LiVP2H2O8
_space_group_name_H-M_alt 'C 1 c 1'
_space_group_IT_number 9
_cell_length_a 10.122
_cell_length_b 16.161
_cell_length_c 8.716
_cell_angle_alpha 90.00
_cell_angle_beta 121.59
_cell_angle_gamma 90.00
loop_
_space_group_symop_operation_xyz
'x,y,z'
'x,-y,z+1/2'
'x+1/2,y+1/2,z'
'x+1/2,-y+1/2,z+1/2'
loop_
_atom_site_label
_atom_site_type_symbol
_atom_site_fract_x
_atom_site_fract_y
_atom_site_fract_z
_atom_site_occupancy
Li1 Li 0.000 0.187 0.000 1
Li2 Li 0.019 0.307 0.517 1
V1 V 0.405 0.107 0.295 1
V2 V 0.428 0.357 0.820 1
P1 P 0.078 0.001 0.167 1
P2 P 0.106 0.468 0.623 1
P3 P 0.249 0.278 0.043 1
P4 P 0.306 0.185 0.583 1
H1 H 0.173 0.036 0.951 1
H2 H 0.263 0.384 0.220 1
H3 H 0.304 0.496 0.385 1
H4 H 0.336 0.079 0.752 1
O1 O 0.011 0.085 0.178 1
O2 O 0.051 0.480 0.956 1
O3 O 0.078 0.301 0.916 1
O4 O 0.109 0.059 0.825 1
O5 O 0.130 0.201 0.499 1
O6 O 0.205 0.469 0.284 1
O7 O 0.213 0.395 0.642 1
O8 O 0.231 0.014 0.169 1
O9 O 0.252 0.189 0.111 1
O10 O 0.324 0.335 0.222 1
O11 O 0.334 0.130 0.461 1
O12 O 0.350 0.284 0.959 1
O13 O 0.374 0.137 0.770 1
O14 O 0.397 0.267 0.634 1
O15 O 0.459 0.455 0.993 1
O16 O 0.470 0.072 0.124 1
```



Least stable structure: (Q)